(1)
{
  "formula": "Al2Rh",
  "functional": "PBE",
  "state": "relaxed",
  "lattice": [[-5.973, -0.893, 0.220], [0.984, -3.231, -5.012], [0.041, -3.791, 3.221]],
  "species": ["Rh", "Rh", "Rh", "Rh", "Al", "Al", "Al", "Al", "Al", "Al", "Al", "Al"],
  "frac_coords": [[0.495, 0.433, 0.511], [0.733, 0.671, 0.011], [0.183, 0.745, 0.239], [0.421, 0.983, 0.739], [0.014, 0.015, 0.004], [0.547, 0.033, 0.224], [0.152, 0.153, 0.504], [0.765, 0.264, 0.746], [0.369, 0.384, 0.026], [0.903, 0.402, 0.246], [0.134, 0.619, 0.724], [0.783, 0.797, 0.526]],
  "n_ef_per_ev_cell": 4.72,
  "e_form_ev_per_atom": -0.690,
  "total_energy_ev_per_atom": -5.635
}

***

(2)
{
  "formula": "Tm3TePS",
  "functional": "PBE",
  "state": "relaxed",
  "lattice": [[6.658, 0.250, 0.000], [1.676, 6.476, 0.000], [0.838, 3.238, 7.063]],
  "species": ["Tm", "Tm", "Tm", "Tm", "Tm", "Tm", "Te", "Te", "P", "P", "S", "S"],
  "frac_coords": [[0.499, 0.819, 0.871], [0.001, 0.310, 0.871], [0.750, 0.250, 0.499], [0.501, 0.181, 0.129], [0.999, 0.690, 0.129], [0.250, 0.750, 0.501], [0.250, 0.251, 0.498], [0.750, 0.749, 0.502], [0.750, 0.064, 0.871], [0.250, 0.936, 0.129], [0.250, 0.561, 0.879], [0.750, 0.439, 0.121]],
  "n_ef_per_ev_cell": 8.30,
  "total_energy_ev_per_atom": -5.748,
  "raw_formation_energy_ev_per_atom": -1.399
}